<A>
Zn3CdO: relaxed, PBE.

Cell: 4.3113 4.3113 4.3113 Å, 90.00 90.00 90.00°
Last column: nearest neighbours and their distance in Å.
Fractional coordinates of all 5 atoms:
Zn: 0.0000 0.5000 0.0000  2 O 2.16
Zn: 0.5000 0.0000 0.0000  2 O 2.16
Zn: 0.0000 0.0000 0.5000  2 O 2.16
Cd: 0.5000 0.5000 0.5000  12 Zn 3.05
O: 0.0000 0.0000 0.0000  6 Zn 2.16

Output
- SG: No. 221

<B>
Zn3CdO: relaxed, PBE.

Cell: 4.9953 4.9953 4.9953 Å, 90.00 90.00 90.00°
Last column: nearest neighbours and their distance in Å.
Fractional coordinates of all 5 atoms:
Zn: 0.0000 0.0000 0.5000  2 Cd 2.50
Zn: 0.0000 0.5000 0.0000  2 Cd 2.50
Zn: 0.5000 0.0000 0.0000  2 Cd 2.50
Cd: 0.0000 0.0000 0.0000  6 Zn 2.50
O: 0.5000 0.5000 0.5000  12 Zn 3.53

Output
- SG: No. 221

Q: Which of them is the most stable? A: <A>.

<A>
ZnCd2O: relaxed, PBE.

Cell: 4.5844 4.5844 4.5844 Å, 60.00 60.00 60.00°
Last column: nearest neighbours and their distance in Å.
Fractional coordinates of all 4 atoms:
O: 0.0000 0.0000 0.0000  8 Cd 2.81
Cd: 0.7500 0.7500 0.7500  4 Zn 2.81, 4 O 2.81
Cd: 0.2500 0.2500 0.2500  4 O 2.81, 4 Zn 2.81
Zn: 0.5000 0.5000 0.5000  8 Cd 2.81

Output
- SG: No. 225

<B>
ZnCd2O: relaxed, PBE.

Cell: 6.4323 6.4323 5.9498 Å, 57.28 57.28 90.00°
Last column: nearest neighbours and their distance in Å.
Fractional coordinates of all 8 atoms:
Cd: 0.8750 0.8154 0.7500  2 O 2.24
Cd: 0.3750 0.4346 0.7500  2 O 2.24
Cd: 0.5654 0.1250 0.2500  2 O 2.24
Cd: 0.1846 0.6250 0.2500  2 O 2.24
Zn: 0.0000 0.0000 0.0000  4 Cd 2.73
Zn: 0.7500 0.2500 0.5000  4 Cd 2.73
O: 0.2500 0.7500 0.5000  4 Cd 2.24
O: 0.5000 0.5000 0.0000  4 Cd 2.24

Output
- SG: No. 122

Q: Which of them is the most stable? A: <B>.

<A>
Zn2CdO3: relaxed, PBE.

Cell: 4.5871 6.2732 5.5131 Å, 106.53 114.58 90.00°
Last column: nearest neighbours and their distance in Å.
Fractional coordinates of all 12 atoms:
Zn: 0.3313 0.4156 0.6623  6 O 2.10-2.30
Zn: 0.3311 0.9156 0.6623  6 O 2.10-2.30
Zn: 0.6687 0.5844 0.3377  6 O 2.10-2.30
Zn: 0.6689 0.0844 0.3377  6 O 2.10-2.30
O: 0.5002 0.7500 0.0000  4 Zn 2.25, 2 Cd 2.29
O: 0.1847 0.5923 0.3692  4 Zn 2.10-2.30
O: 0.1845 0.0923 0.3692  4 Zn 2.10-2.30
O: 0.8153 0.4077 0.6308  4 Zn 2.10-2.30
O: 0.8155 0.9077 0.6308  4 Zn 2.10-2.30
O: 0.4998 0.2500 0.0000  4 Zn 2.25, 2 Cd 2.29
Cd: 0.9998 0.2500 0.0000  6 O 2.29-2.36
Cd: 0.0002 0.7500 0.0000  6 O 2.29-2.36

Output
- SG: No. 71

<B>
Zn2CdO3: relaxed, PBE.

Cell: 5.8971 5.8971 5.8229 Å, 99.20 99.20 120.39°
Last column: nearest neighbours and their distance in Å.
Fractional coordinates of all 12 atoms:
O: 0.4168 0.8837 0.3751  3 Zn 2.01-2.03, 1 Cd 2.23
O: 0.0553 0.2516 0.4040  2 Zn 1.99, 2 Cd 2.22
O: 0.2516 0.0553 0.9040  2 Zn 1.99, 2 Cd 2.22
O: 0.5285 0.6909 0.8727  3 Zn 2.01, 1 Cd 2.23
O: 0.8837 0.4168 0.8751  3 Zn 2.01-2.03, 1 Cd 2.23
O: 0.6909 0.5285 0.3727  3 Zn 2.01, 1 Cd 2.23
Zn: 0.4287 0.5936 0.5079  4 O 1.99-2.01
Zn: 0.7568 0.2677 0.5090  4 O 1.99-2.03
Zn: 0.2677 0.7568 0.0090  4 O 1.99-2.03
Zn: 0.5936 0.4287 0.0079  4 O 1.99-2.01
Cd: 0.9232 0.0981 0.0026  4 O 2.22-2.23
Cd: 0.0981 0.9232 0.5026  4 O 2.22-2.23

Output
- SG: No. 9

Q: Which of them is the most stable? A: <B>.

<A>
Zr2CdO2: relaxed, PBE.

Cell: 7.3559 7.3559 2.9341 Å, 90.00 90.00 90.00°
Last column: nearest neighbours and their distance in Å.
Fractional coordinates of all 10 atoms:
Cd: 0.0000 0.0000 0.0000  4 Zr 2.86, 2 Cd 2.93
Cd: 0.5000 0.5000 0.0000  4 Zr 2.86, 2 Cd 2.93
O: 0.3867 0.1133 0.5000  4 Zr 2.35, 1 O 2.36
O: 0.6133 0.8867 0.5000  4 Zr 2.35, 1 O 2.36
O: 0.8867 0.3867 0.5000  4 Zr 2.35, 1 O 2.36
O: 0.1133 0.6133 0.5000  4 Zr 2.35, 1 O 2.36
Zr: 0.1355 0.3645 0.0000  4 O 2.35
Zr: 0.8645 0.6355 0.0000  4 O 2.35
Zr: 0.6355 0.1355 0.0000  4 O 2.35
Zr: 0.3645 0.8645 0.0000  4 O 2.35

Output
- SG: No. 127

<B>
Zr2CdO2: relaxed, PBE.

Cell: 3.5820 3.5820 6.8893 Å, 74.93 74.93 90.00°
Last column: nearest neighbours and their distance in Å.
Fractional coordinates of all 5 atoms:
Zr: 0.3450 0.3450 0.3100  4 O 2.17
Zr: 0.6550 0.6550 0.6900  4 O 2.17
O: 0.7500 0.2500 0.5000  4 Zr 2.17
O: 0.2500 0.7500 0.5000  4 Zr 2.17
Cd: 0.0000 0.0000 0.0000  8 Zr 3.22, 4 Cd 3.58

Output
- SG: No. 139

Q: Which of them is the most stable? A: <B>.

<A>
ZrCd2O4: relaxed, PBE.

Cell: 3.3684 5.7912 6.5158 Å, 122.33 104.98 90.00°
Last column: nearest neighbours and their distance in Å.
Fractional coordinates of all 7 atoms:
O: 0.6063 0.2660 0.2125  1 Cd 2.16, 2 Zr 2.17
O: 0.3937 0.7340 0.7875  1 Cd 2.16, 2 Zr 2.17
O: 0.1255 0.8687 0.2511  1 Zr 2.10, 3 Cd 2.23-2.33
O: 0.8745 0.1313 0.7489  1 Zr 2.10, 3 Cd 2.23-2.33
Cd: 0.6804 0.7035 0.3607  4 O 2.16-2.33
Cd: 0.3196 0.2965 0.6393  4 O 2.16-2.33
Zr: 0.0000 0.0000 0.0000  6 O 2.10-2.17

Output
- SG: No. 12

<B>
ZrCd2O4: relaxed, PBE.

Cell: 4.1871 4.1871 6.5604 Å, 71.39 71.39 90.00°
Last column: nearest neighbours and their distance in Å.
Fractional coordinates of all 7 atoms:
O: 0.8234 0.8234 0.3532  1 Zr 2.07, 1 Cd 2.09
O: 0.1766 0.1766 0.6468  1 Zr 2.07, 1 Cd 2.09
O: 0.0000 0.5000 0.0000  2 Zr 2.09
O: 0.5000 0.0000 0.0000  2 Zr 2.09
Zr: 0.0000 0.0000 0.0000  6 O 2.07-2.09
Cd: 0.6450 0.6450 0.7100  1 O 2.09
Cd: 0.3550 0.3550 0.2900  1 O 2.09

Output
- SG: No. 139

Q: Which of them is the most stable? A: <A>.

<A>
Zr2CdO: relaxed, PBE.

Cell: 3.3103 3.3103 7.7082 Å, 77.60 77.60 60.00°
Last column: nearest neighbours and their distance in Å.
Fractional coordinates of all 4 atoms:
Zr: 0.7766 0.7766 0.6703  3 O 2.30
Zr: 0.2234 0.2234 0.3297  3 O 2.30
O: 0.5000 0.5000 0.5000  6 Zr 2.30
Cd: 0.0000 0.0000 0.0000  6 Zr 3.12, 6 Cd 3.31

Output
- SG: No. 166

<B>
Zr2CdO: relaxed, PBE.

Cell: 4.6951 4.6951 4.6951 Å, 60.00 60.00 60.00°
Last column: nearest neighbours and their distance in Å.
Fractional coordinates of all 4 atoms:
Zr: 0.7500 0.7500 0.7500  4 Cd 2.88, 4 O 2.88
Zr: 0.2500 0.2500 0.2500  4 O 2.88, 4 Cd 2.88
O: 0.0000 0.0000 0.0000  8 Zr 2.88
Cd: 0.5000 0.5000 0.5000  8 Zr 2.88

Output
- SG: No. 225

<C>
Zr2CdO: relaxed, PBE.

Cell: 3.3171 3.3171 7.7141 Å, 77.58 77.58 60.00°
Last column: nearest neighbours and their distance in Å.
Fractional coordinates of all 4 atoms:
Zr: 0.2770 0.2770 0.1689  3 O 2.30
Zr: 0.0563 0.0563 0.8312  3 O 2.29
Cd: 0.4997 0.4997 0.5008  6 Zr 3.12-3.13, 6 Cd 3.32
O: 0.6670 0.6670 0.9991  6 Zr 2.29-2.30

Output
- SG: No. 160

<D>
Zr2CdO: relaxed, PBE.

Cell: 5.7635 5.7635 6.7202 Å, 64.61 64.61 90.00°
Last column: nearest neighbours and their distance in Å.
Fractional coordinates of all 8 atoms:
O: 0.5000 0.5000 0.0000  4 Zr 2.10
O: 0.2500 0.7500 0.5000  4 Zr 2.10
Cd: 0.7500 0.2500 0.5000  4 Zr 2.91
Cd: 0.0000 0.0000 0.0000  4 Zr 2.91
Zr: 0.5037 0.1250 0.2500  2 O 2.10
Zr: 0.2463 0.6250 0.2500  2 O 2.10
Zr: 0.3750 0.4963 0.7500  2 O 2.10
Zr: 0.8750 0.7537 0.7500  2 O 2.10

Output
- SG: No. 122

Q: Which of them is the most stable? A: <A>.

<A>
CdOs2: relaxed, PBE.

Cell: 2.8048 2.8048 7.0753 Å, 90.00 90.00 120.00°
Last column: nearest neighbours and their distance in Å.
Fractional coordinates of all 3 atoms:
Os: 0.6667 0.3333 0.3564  9 Os 2.60-2.80
Os: 0.3333 0.6667 0.6436  9 Os 2.60-2.80
Cd: 0.0000 0.0000 0.0000  6 Cd 2.80, 6 Os 3.00

Output
- SG: No. 164

<B>
CdOs2: relaxed, PBE.

Cell: 4.4594 4.4594 2.7814 Å, 90.00 90.00 120.00°
Last column: nearest neighbours and their distance in Å.
Fractional coordinates of all 3 atoms:
Os: 0.6667 0.3333 0.3116  3 Cd 2.72, 5 Os 2.78
Os: 0.3333 0.6667 0.6884  3 Cd 2.72, 5 Os 2.78
Cd: 0.0000 0.0000 0.0000  6 Os 2.72, 2 Cd 2.78

Output
- SG: No. 164

Q: Which of them is the most stable? A: <A>.

<A>
CdOs2: relaxed, PBE.

Cell: 7.7401 7.7401 4.5088 Å, 90.00 90.00 159.06°
Last column: nearest neighbours and their distance in Å.
Fractional coordinates of all 6 atoms:
Os: 0.9034 0.0966 0.2500  8 Os 2.61-2.81, 2 Cd 2.90
Os: 0.5480 0.4520 0.2500  10 Os 2.61-2.81, 2 Cd 2.92
Os: 0.4520 0.5480 0.7500  10 Os 2.61-2.81, 2 Cd 2.92
Os: 0.0966 0.9034 0.7500  8 Os 2.61-2.81, 2 Cd 2.90
Cd: 0.2164 0.7836 0.2500  6 Cd 2.81-2.85, 4 Os 2.90-2.92
Cd: 0.7836 0.2164 0.7500  6 Cd 2.81-2.85, 4 Os 2.90-2.92

Output
- SG: No. 63

<B>
CdOs2: relaxed, PBE.

Cell: 5.4710 5.4710 5.4710 Å, 150.37 140.93 49.79°
Last column: nearest neighbours and their distance in Å.
Fractional coordinates of all 3 atoms:
Os: 0.6929 0.6929 0.0000  6 Os 2.57-2.80
Os: 0.3071 0.3071 0.0000  6 Os 2.57-2.80
Cd: 0.0000 0.0000 0.0000  2 Cd 2.80, 10 Os 2.99-3.05

Output
- SG: No. 71

<C>
CdOs2: relaxed, PBE.

Cell: 5.2643 5.2643 5.2643 Å, 60.00 60.00 60.00°
Last column: nearest neighbours and their distance in Å.
Fractional coordinates of all 6 atoms:
Os: 0.6250 0.1250 0.1250  6 Os 2.63
Os: 0.1250 0.1250 0.6250  6 Os 2.63
Os: 0.1250 0.6250 0.1250  6 Os 2.63
Os: 0.1250 0.1250 0.1250  6 Os 2.63
Cd: 0.5000 0.5000 0.5000  12 Os 3.09, 4 Cd 3.22
Cd: 0.7500 0.7500 0.7500  12 Os 3.09, 4 Cd 3.22

Output
- SG: No. 227

<D>
CdOs2: relaxed, PBE.

Cell: 6.2533 6.2533 6.2533 Å, 90.00 90.00 90.00°
Last column: nearest neighbours and their distance in Å.
Fractional coordinates of all 12 atoms:
Cd: 0.5000 0.5000 0.0000  6 Os 2.64
Cd: 0.0000 0.5000 0.5000  6 Os 2.64
Cd: 0.0000 0.0000 0.0000  6 Os 2.64
Cd: 0.5000 0.0000 0.5000  6 Os 2.64
Os: 0.3959 0.3959 0.3959  1 Os 2.26
Os: 0.8959 0.3959 0.1041  1 Os 2.26
Os: 0.3959 0.1041 0.8959  1 Os 2.26
Os: 0.1041 0.6041 0.8959  1 Os 2.26
Os: 0.1041 0.8959 0.3959  1 Os 2.26
Os: 0.6041 0.8959 0.1041  1 Os 2.26
Os: 0.8959 0.1041 0.6041  1 Os 2.26
Os: 0.6041 0.6041 0.6041  1 Os 2.26

Output
- SG: No. 205

Q: Which of them is the most stable? A: <A>.